Compound: BaThS2
Source: Alexandria via LeMat-Bulk
Functional: PBE
Structure: relaxed

Lattice parameters (Å, degrees): 7.9207 7.9207 7.9207 30.09 30.09 30.09
Closest atoms and distances in Å follow each position.
Positions (direct):
Ba (0.0000, 0.0000, 0.0000)  6 S 3.09-3.30
Th (0.8230, 0.8230, 0.8230)  6 S 2.85-2.93
S (0.2321, 0.2321, 0.2321)  3 Th 2.93
S (0.4204, 0.4204, 0.4204)  3 Th 2.85, 3 Ba 3.09

As for the formation energy without anion corrections: -1803 meV per atom.

***

Compound: Ba2ThS6
Source: Alexandria via LeMat-Bulk
Functional: PBE
Structure: relaxed

Lattice parameters (Å, degrees): 5.5453 5.5453 16.2257 90.00 90.00 90.00
Closest atoms and distances in Å follow each position.
Positions (direct):
Ba (0.2500, 0.7500, 0.1134)  8 S 3.30-3.36
Ba (0.2500, 0.7500, 0.3866)  8 S 3.30-3.36
Ba (0.7500, 0.2500, 0.6134)  8 S 3.30-3.36
Ba (0.7500, 0.2500, 0.8866)  8 S 3.30-3.36
Th (0.2500, 0.7500, 0.7500)  8 S 2.80-2.90
Th (0.7500, 0.2500, 0.2500)  8 S 2.80-2.90
S (0.0613, 0.7500, 0.5833)  1 S 2.09
S (0.2500, 0.2500, 0.2245)  2 Th 2.80
S (0.2500, 0.2500, 0.7245)  2 Th 2.80
S (0.2500, 0.5613, 0.9167)  1 S 2.09
S (0.2500, 0.9387, 0.9167)  1 S 2.09
S (0.4387, 0.7500, 0.5833)  1 S 2.09
S (0.5613, 0.2500, 0.4167)  1 S 2.09
S (0.7500, 0.0613, 0.0833)  1 S 2.09
S (0.7500, 0.4387, 0.0833)  1 S 2.09
S (0.7500, 0.7500, 0.2755)  2 Th 2.80
S (0.7500, 0.7500, 0.7755)  2 Th 2.80
S (0.9387, 0.2500, 0.4167)  1 S 2.09

As for the formation energy without anion corrections: -1651 meV per atom.

***

Compound: BaThS2
Source: Alexandria via LeMat-Bulk
Functional: PBE
Structure: relaxed

Lattice parameters (Å, degrees): 7.6009 7.6009 7.6009 31.97 31.97 31.97
Closest atoms and distances in Å follow each position.
Positions (direct):
Ba (0.0000, 0.0000, 0.0000)  6 S 3.16
Th (0.5000, 0.5000, 0.5000)  6 S 2.88
S (0.2394, 0.2394, 0.2394)  3 Th 2.88, 3 Ba 3.16
S (0.7606, 0.7606, 0.7606)  3 Th 2.88, 3 Ba 3.16

As for the formation energy without anion corrections: -1869 meV per atom.

***

Compound: Ba2ThS4
Source: Alexandria via LeMat-Bulk
Functional: PBE
Structure: relaxed

Lattice parameters (Å, degrees): 7.7885 12.7383 4.4065 90.00 90.00 90.00
Closest atoms and distances in Å follow each position.
Positions (direct):
Ba (0.0788, 0.1815, 0.0000)  6 S 3.14-3.31
Ba (0.4212, 0.6815, 0.0000)  6 S 3.14-3.31
Ba (0.5788, 0.3185, 0.0000)  6 S 3.14-3.31
Ba (0.9212, 0.8185, 0.0000)  6 S 3.14-3.31
Th (0.0000, 0.5000, 0.5000)  6 S 2.74-2.86
Th (0.5000, 0.0000, 0.5000)  6 S 2.74-2.86
S (0.1349, 0.6989, 0.5000)  1 Th 2.74
S (0.2203, 0.4521, 0.0000)  2 Th 2.86
S (0.2797, 0.9521, 0.0000)  2 Th 2.86
S (0.3651, 0.1989, 0.5000)  1 Th 2.74
S (0.6349, 0.8011, 0.5000)  1 Th 2.74
S (0.7203, 0.0479, 0.0000)  2 Th 2.86
S (0.7797, 0.5479, 0.0000)  2 Th 2.86
S (0.8651, 0.3011, 0.5000)  1 Th 2.74

As for the formation energy without anion corrections: -2084 meV per atom.

***

Compound: BaThTl2S4
Source: Alexandria via LeMat-Bulk
Functional: PBE
Structure: relaxed

Lattice parameters (Å, degrees): 7.6977 4.3463 7.8512 90.00 108.94 90.00
Closest atoms and distances in Å follow each position.
Positions (direct):
Ba (0.0000, 0.0000, 0.0000)  6 S 3.11-3.15
Th (0.5000, 0.5000, 0.0000)  6 S 2.75-2.87
Tl (0.0000, 0.5000, 0.5000)  6 S 3.43-3.58
Tl (0.5000, 0.0000, 0.5000)  6 S 3.22
S (0.2754, 0.5000, 0.2102)  1 Th 2.75
S (0.2910, 0.0000, 0.7948)  2 Th 2.87, 1 Ba 3.15
S (0.7090, 0.0000, 0.2052)  2 Th 2.87, 1 Ba 3.15
S (0.7246, 0.5000, 0.7898)  1 Th 2.75

As for the formation energy without anion corrections: -1394 meV per atom.

***

Compound: Ba2TmThS6
Source: Alexandria via LeMat-Bulk
Functional: PBE
Structure: relaxed

Lattice parameters (Å, degrees): 7.2749 7.6181 12.6936 90.00 124.31 90.00
Closest atoms and distances in Å follow each position.
Positions (direct):
Ba (0.2274, 0.0650, 0.2492)  6 S 3.21-3.40
Ba (0.2274, 0.4350, 0.7492)  6 S 3.21-3.40
Ba (0.7726, 0.5650, 0.2508)  6 S 3.21-3.40
Ba (0.7726, 0.9350, 0.7508)  6 S 3.21-3.40
Tm (0.0000, 0.0000, 0.5000)  6 S 2.67-2.69
Tm (0.0000, 0.5000, 0.0000)  6 S 2.67-2.69
Th (0.5000, 0.0000, 0.0000)  6 S 2.75-2.76
Th (0.5000, 0.5000, 0.5000)  6 S 2.75-2.76
S (0.1501, 0.2079, 0.9524)  1 Tm 2.69, 1 Th 2.76
S (0.1501, 0.2921, 0.4524)  1 Tm 2.69, 1 Th 2.76
S (0.2459, 0.7034, 0.9521)  1 Tm 2.68, 1 Th 2.76
S (0.2459, 0.7966, 0.4521)  1 Tm 2.68, 1 Th 2.76
S (0.3369, 0.0240, 0.7457)  1 Tm 2.67, 1 Th 2.75
S (0.3369, 0.4760, 0.2457)  1 Tm 2.67, 1 Th 2.75
S (0.6631, 0.5240, 0.7543)  1 Tm 2.67, 1 Th 2.75
S (0.6631, 0.9760, 0.2543)  1 Tm 2.67, 1 Th 2.75
S (0.7541, 0.2034, 0.5479)  1 Tm 2.68, 1 Th 2.76
S (0.7541, 0.2966, 0.0479)  1 Tm 2.68, 1 Th 2.76
S (0.8499, 0.7079, 0.5476)  1 Tm 2.69, 1 Th 2.76
S (0.8499, 0.7921, 0.0476)  1 Tm 2.69, 1 Th 2.76

As for the formation energy without anion corrections: -1881 meV per atom.